# HRuSe

A relaxed structure of HRuSe (PBE, Alexandria).

Lattice parameters (Å, degrees): 3.9108 3.9108 5.6437 90.00 90.00 90.00
Atoms (fractional coordinates):
1 H 0.2500 0.2500 0.1193
2 H 0.7500 0.7500 0.8807
3 Ru 0.2500 0.7500 0.0000
4 Ru 0.7500 0.2500 0.0000
5 Se 0.2500 0.2500 0.7148
6 Se 0.7500 0.7500 0.2852

Summary:
- V (Å³ per atom) = 14.39
- VASP energy (eV/atom) = -5.225
- M_tot (μB/f.u.) = 0.00
- ΔE to the lowest computed polymorph (meV per atom) = 55.2
- crystal system = tetragonal

# CoNi6

A relaxed structure of CoNi6 (PBE, Alexandria).

Lattice parameters (Å, degrees): 6.1062 6.1062 6.1062 37.88 37.88 37.88
Atoms (fractional coordinates):
1 Co 0.0000 0.0000 0.0000
2 Ni 0.1425 0.1425 0.1425
3 Ni 0.2859 0.2859 0.2859
4 Ni 0.4288 0.4288 0.4288
5 Ni 0.5712 0.5712 0.5712
6 Ni 0.7141 0.7141 0.7141
7 Ni 0.8575 0.8575 0.8575

Summary:
- formation energy (eV/atom) = 0.107
- V (Å³ per atom) = 11.00
- VASP energy (eV/atom) = -5.864
- M_tot (μB/f.u.) = 5.17
- crystal system = trigonal

# LaTb2Nd2Y2

A relaxed structure of LaTb2Nd2Y2 (PBE, Alexandria).

Lattice parameters (Å, degrees): 11.9112 3.5503 11.9426 90.00 108.31 90.00
Atoms (fractional coordinates):
1 La 0.0000 0.0000 0.0000
2 La 0.5000 0.5000 0.0000
3 Tb 0.2249 0.0000 0.8614
4 Tb 0.2751 0.5000 0.1386
5 Tb 0.7249 0.5000 0.8614
6 Tb 0.7751 0.0000 0.1386
7 Nd 0.1723 0.5000 0.5845
8 Nd 0.3277 0.0000 0.4155
9 Nd 0.6723 0.0000 0.5845
10 Nd 0.8277 0.5000 0.4155
11 Y 0.0503 0.5000 0.2744
12 Y 0.4497 0.0000 0.7256
13 Y 0.5503 0.0000 0.2744
14 Y 0.9497 0.5000 0.7256

Summary:
- formation energy (eV/atom) = 0.090
- V (Å³ per atom) = 34.25
- VASP energy (eV/atom) = -5.146
- M_tot (μB/f.u.) = 0.00
- crystal system = monoclinic

# IrPbSe

A relaxed structure of IrPbSe (PBE, Alexandria).

Lattice parameters (Å, degrees): 6.4428 6.4428 6.4428 90.00 90.00 90.00
Atoms (fractional coordinates):
1 Ir 0.0000 0.0000 0.0000
2 Ir 0.0000 0.5000 0.5000
3 Ir 0.5000 0.0000 0.5000
4 Ir 0.5000 0.5000 0.0000
5 Pb 0.2500 0.2500 0.7500
6 Pb 0.2500 0.7500 0.2500
7 Pb 0.7500 0.2500 0.2500
8 Pb 0.7500 0.7500 0.7500
9 Se 0.2500 0.2500 0.2500
10 Se 0.2500 0.7500 0.7500
11 Se 0.7500 0.2500 0.7500
12 Se 0.7500 0.7500 0.2500

Summary:
- V (Å³ per atom) = 22.29
- VASP energy (eV/atom) = -5.208
- M_tot (μB/f.u.) = 0.00
- ΔE to the lowest computed polymorph (meV per atom) = 212.2
- crystal system = cubic

# CuS3O

A relaxed structure of CuS3O (PBE, Alexandria).

Lattice parameters (Å, degrees): 4.2069 4.2069 4.2069 90.00 90.00 90.00
Atoms (fractional coordinates):
1 Cu 0.0000 0.0000 0.0000
2 S 0.0000 0.5000 0.5000
3 S 0.5000 0.0000 0.5000
4 S 0.5000 0.5000 0.0000
5 O 0.5000 0.5000 0.5000

Summary:
- V (Å³ per atom) = 14.89
- VASP energy (eV/atom) = -3.319
- M_tot (μB/f.u.) = 0.00
- ΔE to the lowest computed polymorph (meV per atom) = 1129.2
- crystal system = cubic

# YSnPb3

A relaxed structure of YSnPb3 (PBE, Alexandria).

Lattice parameters (Å, degrees): 5.8439 5.8439 5.8439 90.00 90.00 90.00
Atoms (fractional coordinates):
1 Y 0.0000 0.0000 0.0000
2 Sn 0.5000 0.5000 0.5000
3 Pb 0.0000 0.0000 0.5000
4 Pb 0.0000 0.5000 0.0000
5 Pb 0.5000 0.0000 0.0000

Summary:
- formation energy (eV/atom) = 0.492
- V (Å³ per atom) = 39.91
- VASP energy (eV/atom) = -3.826
- M_tot (μB/f.u.) = 0.00
- ΔE to the lowest computed polymorph (meV per atom) = 0.0
- crystal system = cubic

# HgSb2Se2Cl2

A relaxed structure of HgSb2Se2Cl2 (PBE, Alexandria).

Lattice parameters (Å, degrees): 4.0031 7.5221 7.9962 108.06 103.97 90.17
Atoms (fractional coordinates):
1 Hg 0.0000 0.0000 0.0000
2 Sb 0.1426 0.4713 0.2728
3 Sb 0.8574 0.5287 0.7272
4 Se 0.3011 0.7231 0.6037
5 Se 0.6989 0.2769 0.3963
6 Cl 0.3888 0.2948 0.7886
7 Cl 0.6112 0.7052 0.2114

Summary:
- V (Å³ per atom) = 31.62
- VASP energy (eV/atom) = -3.184
- M_tot (μB/f.u.) = 0.00
- crystal system = triclinic

# LiSn2Pb

A relaxed structure of LiSn2Pb (PBE, Alexandria).

Lattice parameters (Å, degrees): 4.8038 4.8038 16.2588 90.00 90.00 120.00
Atoms (fractional coordinates):
1 Li 0.0000 0.0000 0.0000
2 Li 0.3333 0.6667 0.6667
3 Li 0.6667 0.3333 0.3333
4 Sn 0.0000 0.0000 0.2766
5 Sn 0.0000 0.0000 0.7234
6 Sn 0.3333 0.6667 0.3901
7 Sn 0.3333 0.6667 0.9432
8 Sn 0.6667 0.3333 0.0568
9 Sn 0.6667 0.3333 0.6099
10 Pb 0.0000 0.0000 0.5000
11 Pb 0.3333 0.6667 0.1667
12 Pb 0.6667 0.3333 0.8333

Summary:
- formation energy (eV/atom) = -0.052
- V (Å³ per atom) = 27.08
- VASP energy (eV/atom) = -3.459
- M_tot (μB/f.u.) = 0.00
- crystal system = trigonal

What did the first record say?
# HRuSe

A relaxed structure of HRuSe (PBE, Alexandria).

Lattice parameters (Å, degrees): 3.9108 3.9108 5.6437 90.00 90.00 90.00
Atoms (fractional coordinates):
1 H 0.2500 0.2500 0.1193
2 H 0.7500 0.7500 0.8807
3 Ru 0.2500 0.7500 0.0000
4 Ru 0.7500 0.2500 0.0000
5 Se 0.2500 0.2500 0.7148
6 Se 0.7500 0.7500 0.2852

Summary:
- V (Å³ per atom) = 14.39
- VASP energy (eV/atom) = -5.225
- M_tot (μB/f.u.) = 0.00
- ΔE to the lowest computed polymorph (meV per atom) = 55.2
- crystal system = tetragonal

> Look up the VASP energy of the sixth one.

-3.826 eV/atom

> What is the M_tot in the seventh record?

0.00 μB/f.u.

> Number 1 is which compound?

HRuSe